1.
The following is a GGA+U calculation of an optimized crystal structure of Er2CoB2O6, from OQMD.

abc: 8.5898 4.8685 5.9473
angles: 90.00 118.80 90.00
Space group C2/m (No. 12)
Inequivalent atoms, fractional coordinates:
Er: 0.2106 0.0000 0.2107 (multiplicity 4)
Co: 0.0000 0.0000 0.5000 (multiplicity 2)
B: 0.0327 0.5000 0.2625 (multiplicity 4)
O: 0.0631 0.2546 0.8333 (multiplicity 8)
O: 0.2168 0.5000 0.3598 (multiplicity 4)


2.
The following is a GGA+U calculation of an optimized crystal structure of Tb2ErCo2B2O3, from OQMD.

abc: 3.4010 3.4010 21.4503
angles: 90.00 90.00 90.00
Space group I4/mmm (No. 139)
Inequivalent atoms, fractional coordinates:
Tb: 0.0000 0.0000 0.1366 (multiplicity 4)
Er: 0.0000 0.0000 0.5000 (multiplicity 2)
Co: 0.0000 0.5000 0.2500 (multiplicity 4)
B: 0.0000 0.0000 0.2900 (multiplicity 4)
O: 0.0000 0.0000 0.0000 (multiplicity 2)
O: 0.0000 0.0000 0.3987 (multiplicity 4)


no.,final energy (hartree per atom)
1,-0.2800
2,-0.2533